(1)
# PBE Zr8Ni21, optimized geometry
data_Zr8Ni21
_chemical_formula_sum 'Zr8 Ni21'
_space_group_name_H-M_alt 'P -1'
_space_group_IT_number 2
_cell_length_a 6.463
_cell_length_b 8.101
_cell_length_c 8.580
_cell_angle_alpha 75.48
_cell_angle_beta 68.02
_cell_angle_gamma 75.39
loop_
_space_group_symop_operation_xyz
'x,y,z'
'-x,-y,-z'
loop_
_atom_site_label
_atom_site_fract_x
_atom_site_fract_y
_atom_site_fract_z
_atom_site_occupancy
Zr1 0.067 0.036 0.248 1
Zr2 0.251 0.563 0.967 1
Zr3 0.254 0.441 0.393 1
Zr4 0.430 0.095 0.685 1
Ni1 0.015 0.620 0.754 1
Ni2 0.016 0.294 0.726 1
Ni3 0.183 0.254 0.953 1
Ni4 0.183 0.900 0.965 1
Ni5 0.197 0.755 0.458 1
Ni6 0.214 0.117 0.469 1
Ni7 0.363 0.787 0.658 1
Ni8 0.380 0.444 0.653 1
Ni9 0.401 0.720 0.154 1
Ni10 0.403 0.241 0.153 1
Ni11 0.500 0.000 0.000 1
# Formation energy from the elements (kJ per mole of atoms): -41.78
# DFT total energy (eV per cell): -202.35

***

(2)
# PBE Zr2Ni, optimized geometry
data_Zr2Ni
_chemical_formula_sum 'Zr6 Ni3'
_space_group_name_H-M_alt 'P -6 2 m'
_space_group_IT_number 189
_space_group_name_Hall 'P -6 -2'
_cell_length_a 6.9228
_cell_length_b 6.9228
_cell_length_c 4.1743
_cell_angle_alpha 90.00
_cell_angle_beta 90.00
_cell_angle_gamma 120.00
loop_
_atom_site_label
_atom_site_fract_x
_atom_site_fract_y
_atom_site_fract_z
_atom_site_occupancy
Zr1 0.0000 0.2775 0.0000 1
Zr2 0.0000 0.6130 0.5000 1
Ni1 0.0000 0.0000 0.5000 1
Ni2 0.3333 0.6667 0.0000 1
# Formation energy from the elements (kJ per mole of atoms): -19.60
# DFT total energy (eV per cell): -70.46